[1]
# SmDy2IO8 | Alexandria | GGA-PBE | optimized geometry
data_SmDy2IO8
_chemical_formula_sum 'Sm2 Dy4 I2 O16'
_symmetry_space_group_name_H-M 'C m m m'
_symmetry_Int_Tables_number 65
_symmetry_space_group_name_Hall '-C 2 2'
_cell_length_a 7.130
_cell_length_b 7.150
_cell_length_c 6.910
_cell_angle_alpha 90.00
_cell_angle_beta 90.00
_cell_angle_gamma 90.00
loop_
_atom_site_label
_atom_site_type_symbol
_atom_site_fract_x
_atom_site_fract_y
_atom_site_fract_z
Sm1 Sm 0.000 0.000 0.000
Dy1 Dy 0.000 0.500 0.249
I1 I 0.000 0.000 0.500
O1 O 0.000 0.182 0.296
O2 O 0.186 0.500 0.000
O3 O 0.233 0.500 0.500
# Energy   -6.918 eV per atom
# Crystal system   orthorhombic

***

[2]
# Sm2DyIO8 | Alexandria | GGA-PBE | optimized geometry
data_Sm2DyIO8
_chemical_formula_sum 'Sm2 Dy1 I1 O8'
_symmetry_space_group_name_H-M 'P 1 2/m 1'
_symmetry_Int_Tables_number 10
_cell_length_a 5.117
_cell_length_b 6.917
_cell_length_c 5.117
_cell_angle_alpha 90.00
_cell_angle_beta 91.00
_cell_angle_gamma 90.00
loop_
_symmetry_equiv_pos_as_xyz
'x,y,z'
'-x,-y,-z'
'-x,y,-z'
'x,-y,z'
loop_
_atom_site_label
_atom_site_type_symbol
_atom_site_fract_x
_atom_site_fract_y
_atom_site_fract_z
Sm1 Sm 0.000 0.250 0.000
Dy1 Dy 0.500 0.000 0.500
I1 I 0.500 0.500 0.500
O1 O 0.195 0.000 0.196
O2 O 0.236 0.500 0.237
O3 O 0.324 0.293 0.678
# Energy   -6.894 eV per atom
# Crystal system   monoclinic

***

[3]
# SrDy2IO8 | Alexandria | GGA-PBE | optimized geometry
data_SrDy2IO8
_chemical_formula_sum 'Sr1 Dy2 I1 O8'
_symmetry_space_group_name_H-M 'P 1 2/m 1'
_symmetry_Int_Tables_number 10
_cell_length_a 4.976
_cell_length_b 7.247
_cell_length_c 4.992
_cell_angle_alpha 90.00
_cell_angle_beta 90.32
_cell_angle_gamma 90.00
loop_
_symmetry_equiv_pos_as_xyz
'x,y,z'
'-x,-y,-z'
'-x,y,-z'
'x,-y,z'
loop_
_atom_site_label
_atom_site_type_symbol
_atom_site_fract_x
_atom_site_fract_y
_atom_site_fract_z
Sr1 Sr 0.000 0.000 0.000
Dy1 Dy 0.500 0.266 0.500
I1 I 0.000 0.500 0.000
O1 O 0.174 0.308 0.808
O2 O 0.283 0.500 0.263
O3 O 0.369 0.000 0.317
# Energy   -6.398 eV per atom
# Crystal system   monoclinic

***

Energy relative to the elements, uncorrected list, top to bottom, in meV per atom: -2323 -2289 -2056